VASP calculation (PBE+U) on a geometry-optimized PaTiNiO6 structure.

The space-group type is P4_2nm (102). The value obtained for the density is 6.61 g/cm³. As for the final energy: -71.94 eV per formula unit.

```
PaTiNiO6
1.0
4.774 0.000 0.000
0.000 4.774 0.000
0.000 0.000 9.551
Pa Ti Ni O
2 2 2 12
direct
0.000 0.000 0.000
0.500 0.500 0.500
0.000 0.000 0.335
0.500 0.500 0.835
0.000 0.000 0.670
0.500 0.500 0.170
0.180 0.180 0.502
0.199 0.199 0.184
0.206 0.206 0.826
0.294 0.706 0.326
0.301 0.699 0.684
0.320 0.680 0.002
0.680 0.320 0.002
0.699 0.301 0.684
0.706 0.294 0.326
0.794 0.794 0.826
0.801 0.801 0.184
0.820 0.820 0.502
```